PuThCo: relaxed, PBE.

```
data_PuThCo
_cell_length_a 3.8040
_cell_length_b 3.8040
_cell_length_c 5.9680
_cell_angle_alpha 90.00
_cell_angle_beta 90.00
_cell_angle_gamma 120.00
_space_group_name_H-M_alt 'P 3 m 1'
_space_group_IT_number 156
loop_
_space_group_symop_operation_xyz
'x,y,z'
'-y,x-y,z'
'-x+y,-x,z'
'-y,-x,z'
'-x+y,y,z'
'x,x-y,z'
loop_
_atom_site_label
_atom_site_fract_x
_atom_site_fract_y
_atom_site_fract_z
_atom_site_occupancy
Pu1 0.0000 0.0000 0.0000 1
Th1 0.6667 0.3333 0.4814 1
Co1 0.3333 0.6667 0.7427 1
```

V ... 24.9 Å³ per atom
Electronic total energy ... -28.70 eV per cell
Energy relative to the lowest polymorph listed for this composition ... 15 meV/atom
Energy of formation from the pure elements ... 52.2 meV per atom